# 1
Tm2B4Ir3 | PBE | optimized geometry

For the formation energy, the calculation gives -270.4 meV per atom. The calculation puts the total DFT energy (no corrections) at -7.19 eV/atom.

Geometry as POSCAR:
```
Tm2B4Ir3
1.0
0.0000 4.5938 4.8685
2.7648 0.0000 4.8685
2.7648 4.5938 0.0000
Tm B Ir
2 4 3
direct
0.1536 0.1536 0.8464
0.8464 0.8464 0.1536
0.1189 0.5459 0.4541
0.4541 0.8811 0.1189
0.5459 0.1189 0.8811
0.8811 0.4541 0.5459
0.0000 0.0000 0.5000
0.5000 0.5000 0.0000
0.5000 0.5000 0.5000
```


# 2
Cs3TaB | PBE | optimized geometry

For the formation energy, the calculation gives 1970.3 meV per atom. The calculation puts the total DFT energy (no corrections) at -2.25 eV/atom. The excess energy over the best structure of this formula in the dataset comes out at 0 meV per atom.

Geometry as POSCAR:
```
Cs3TaB
1.0
6.3029 0.0000 0.0000
0.0000 6.3029 0.0000
0.0000 0.0000 6.3029
Cs Ta B
3 1 1
direct
0.0000 0.0000 0.5000
0.0000 0.5000 0.0000
0.5000 0.0000 0.0000
0.5000 0.5000 0.5000
0.0000 0.0000 0.0000
```


> Look up the total DFT energy (no corrections) of the second one.

-2.25 eV/atom


> Which value of total DFT energy (no corrections) does entry 1 give?

-7.19 eV/atom


> Among the records above, which one has the lowest total DFT energy (no corrections)?

Tm2B4Ir3